No. 1
{
  "formula": "ScTa4Ag",
  "functional": "PBE",
  "state": "relaxed",
  "volume_a3_per_cell": 120,
  "spacegroup": "F-43m",
  "e_tot_ev_per_cell": -54.51,
  "magnetic_moment_mub_per_cell": 0.000,
  "lattice": [[3.336, -4.035, 1.793], [-0.630, -5.159, -1.899], [3.783, -2.178, -3.401]],
  "species": ["Sc", "Ta", "Ta", "Ta", "Ta", "Ag"],
  "frac_coords": [[0.000, 0.000, 0.000], [0.373, 0.881, 0.373], [0.881, 0.373, 0.373], [0.373, 0.373, 0.881], [0.373, 0.373, 0.373], [0.750, 0.750, 0.750]]
}

No. 2
{
  "formula": "ScTaAg2",
  "functional": "PBE",
  "state": "relaxed",
  "volume_a3_per_cell": 76,
  "spacegroup": "Imm2",
  "e_tot_ev_per_cell": -22.96,
  "magnetic_moment_mub_per_cell": 0.000,
  "lattice": [[-0.234, -0.365, 5.810], [-2.100, -4.825, 2.499], [3.980, 2.641, -3.336]],
  "species": ["Ag", "Ag", "Sc", "Ta"],
  "frac_coords": [[0.996, 0.996, 0.000], [0.759, 0.259, 0.500], [0.501, 0.501, 0.000], [0.244, 0.744, 0.500]]
}

No. 3
{
  "formula": "ScTaAg2",
  "functional": "PBE",
  "state": "relaxed",
  "volume_a3_per_cell": 75,
  "spacegroup": "Pmmm",
  "e_tot_ev_per_cell": -23.17,
  "magnetic_moment_mub_per_cell": 0.002,
  "lattice": [[4.277, 0.000, 0.000], [0.000, 2.895, 0.020], [0.000, 2.857, 6.039]],
  "species": ["Ag", "Ag", "Sc", "Ta"],
  "frac_coords": [[0.000, 0.007, 0.993], [0.000, 0.493, 0.507], [0.500, 0.250, 0.250], [0.500, 0.750, 0.750]]
}

No. 4
{
  "formula": "Sc4TaAg",
  "functional": "PBE",
  "state": "relaxed",
  "volume_a3_per_cell": 129,
  "spacegroup": "F-43m",
  "e_tot_ev_per_cell": -36.96,
  "magnetic_moment_mub_per_cell": 1.322,
  "lattice": [[-2.958, -0.622, 4.803], [-5.366, 1.825, 0.284], [-4.260, -3.741, 0.244]],
  "species": ["Sc", "Sc", "Sc", "Sc", "Ta", "Ag"],
  "frac_coords": [[0.872, 0.376, 0.376], [0.376, 0.376, 0.872], [0.376, 0.872, 0.376], [0.376, 0.376, 0.376], [0.750, 0.750, 0.750], [0.000, 0.000, 0.000]]
}

No. 5
{
  "formula": "ScTa2Ag2",
  "functional": "PBE",
  "state": "relaxed",
  "volume_a3_per_cell": 101,
  "spacegroup": "I4/mmm",
  "e_tot_ev_per_cell": -33.76,
  "magnetic_moment_mub_per_cell": 0.000,
  "lattice": [[-1.890, 1.890, 7.094], [1.890, -1.890, 7.094], [1.890, 1.890, -7.094]],
  "species": ["Sc", "Ta", "Ta", "Ag", "Ag"],
  "frac_coords": [[0.000, 0.000, 0.000], [0.250, 0.750, 0.500], [0.750, 0.250, 0.500], [0.594, 0.594, 0.000], [0.406, 0.406, 0.000]]
}

No. 6
{
  "formula": "ScTaAg3",
  "functional": "PBE",
  "state": "relaxed",
  "volume_a3_per_cell": 130,
  "spacegroup": "Pm-3m",
  "e_tot_ev_per_cell": -20.74,
  "magnetic_moment_mub_per_cell": 0.644,
  "lattice": [[-3.027, 2.777, -2.968], [0.872, -3.171, -3.856], [-3.970, -2.814, 1.417]],
  "species": ["Sc", "Ag", "Ag", "Ag", "Ta"],
  "frac_coords": [[0.500, 0.500, 0.500], [0.000, 0.500, 0.000], [0.000, 0.000, 0.500], [0.500, 0.000, 0.000], [0.000, 0.000, 0.000]]
}

No. 7
{
  "formula": "ScTa3Ag",
  "functional": "PBE",
  "state": "relaxed",
  "volume_a3_per_cell": 120,
  "spacegroup": "Pm-3m",
  "e_tot_ev_per_cell": -36.10,
  "magnetic_moment_mub_per_cell": 0.000,
  "lattice": [[4.932, 0.000, 0.000], [0.000, 4.932, 0.000], [0.000, 0.000, 4.932]],
  "species": ["Sc", "Ag", "Ta", "Ta", "Ta"],
  "frac_coords": [[0.500, 0.500, 0.500], [0.000, 0.000, 0.000], [0.000, 0.500, 0.000], [0.000, 0.000, 0.500], [0.500, 0.000, 0.000]]
}

No. 8
{
  "formula": "ScTaAg2",
  "functional": "PBE",
  "state": "relaxed",
  "volume_a3_per_cell": 76,
  "spacegroup": "P4mm",
  "e_tot_ev_per_cell": -23.77,
  "magnetic_moment_mub_per_cell": 0.000,
  "lattice": [[2.982, 0.000, 0.000], [0.000, 2.982, 0.000], [0.000, 0.000, 8.561]],
  "species": ["Ag", "Ag", "Sc", "Ta"],
  "frac_coords": [[0.000, 0.000, 0.000], [0.500, 0.500, 0.244], [0.000, 0.000, 0.505], [0.500, 0.500, 0.752]]
}

No. 9
{
  "formula": "ScTaAg2",
  "functional": "PBE",
  "state": "relaxed",
  "volume_a3_per_cell": 75,
  "spacegroup": "I4/mmm",
  "e_tot_ev_per_cell": -22.84,
  "magnetic_moment_mub_per_cell": 0.300,
  "lattice": [[-4.823, 0.175, -1.746], [-3.201, -0.284, 4.002], [4.037, 3.040, -0.897]],
  "species": ["Ag", "Ag", "Sc", "Ta"],
  "frac_coords": [[0.000, 0.000, 0.000], [0.500, 0.500, 0.000], [0.250, 0.750, 0.500], [0.750, 0.250, 0.500]]
}

No. 10
{
  "formula": "Sc3TaAg",
  "functional": "PBE",
  "state": "relaxed",
  "volume_a3_per_cell": 128,
  "spacegroup": "Pm-3m",
  "e_tot_ev_per_cell": -29.08,
  "magnetic_moment_mub_per_cell": 1.000,
  "lattice": [[-3.920, 0.708, 3.088], [-3.163, -1.136, -3.755], [0.169, -4.858, 1.328]],
  "species": ["Sc", "Sc", "Sc", "Ag", "Ta"],
  "frac_coords": [[0.000, 0.500, 0.000], [0.000, 0.000, 0.500], [0.500, 0.000, 0.000], [0.000, 0.000, 0.000], [0.500, 0.500, 0.500]]
}

No. 11
{
  "formula": "ScTaAg2",
  "functional": "PBE",
  "state": "relaxed",
  "volume_a3_per_cell": 75,
  "spacegroup": "Amm2",
  "e_tot_ev_per_cell": -23.08,
  "magnetic_moment_mub_per_cell": 0.227,
  "lattice": [[4.616, 0.000, 0.000], [0.000, 2.884, 0.034], [0.000, 1.375, 5.675]],
  "species": ["Ag", "Ag", "Sc", "Ta"],
  "frac_coords": [[0.000, 0.195, 0.982], [0.500, 0.056, 0.265], [0.000, 0.453, 0.469], [0.500, 0.795, 0.784]]
}

No. 12
{
  "formula": "ScTaAg2",
  "functional": "PBE",
  "state": "relaxed",
  "volume_a3_per_cell": 76,
  "spacegroup": "Immm",
  "e_tot_ev_per_cell": -22.73,
  "magnetic_moment_mub_per_cell": 0.000,
  "lattice": [[-4.786, 2.423, -2.151], [-4.734, 0.471, 3.282], [5.561, 1.309, -0.873]],
  "species": ["Ag", "Ag", "Sc", "Ta"],
  "frac_coords": [[0.006, 0.006, 0.000], [0.494, 0.494, 0.000], [0.750, 0.250, 0.500], [0.250, 0.750, 0.500]]
}

No. 13
{
  "formula": "ScTaAg2",
  "functional": "PBE",
  "state": "relaxed",
  "volume_a3_per_cell": 75,
  "spacegroup": "F-43m",
  "e_tot_ev_per_cell": -22.26,
  "magnetic_moment_mub_per_cell": 2.203,
  "lattice": [[-1.250, -3.829, -2.506], [-0.351, -4.221, 2.135], [-4.261, -1.978, 0.658]],
  "species": ["Ag", "Ag", "Sc", "Ta"],
  "frac_coords": [[0.000, 0.000, 0.000], [0.250, 0.250, 0.250], [0.500, 0.500, 0.500], [0.750, 0.750, 0.750]]
}

No. 14
{
  "formula": "ScTaAg2",
  "functional": "PBE",
  "state": "relaxed",
  "volume_a3_per_cell": 75,
  "spacegroup": "Cm",
  "e_tot_ev_per_cell": -23.14,
  "magnetic_moment_mub_per_cell": 0.000,
  "lattice": [[5.150, 0.006, -0.014], [4.328, 2.791, -0.014], [0.916, 0.270, 5.221]],
  "species": ["Ag", "Ag", "Sc", "Ta"],
  "frac_coords": [[0.002, 0.002, 0.017], [0.747, 0.747, 0.739], [0.501, 0.501, 0.519], [0.250, 0.250, 0.226]]
}

No. 15
{
  "formula": "ScTaAg2",
  "functional": "PBE",
  "state": "relaxed",
  "volume_a3_per_cell": 162,
  "spacegroup": "I-42d",
  "e_tot_ev_per_cell": -43.02,
  "magnetic_moment_mub_per_cell": 0.000,
  "lattice": [[-3.330, 1.206, -6.779], [5.990, -3.205, -3.513], [0.104, -3.468, -4.983]],
  "species": ["Sc", "Sc", "Ag", "Ag", "Ag", "Ag", "Ta", "Ta"],
  "frac_coords": [[0.500, 0.500, 0.000], [0.250, 0.750, 0.500], [0.636, 0.125, 0.250], [0.114, 0.625, 0.250], [0.375, 0.364, 0.750], [0.875, 0.886, 0.750], [0.000, 0.000, 0.000], [0.750, 0.250, 0.500]]
}

No. 16
{
  "formula": "ScTaAg",
  "functional": "PBE",
  "state": "relaxed",
  "volume_a3_per_cell": 59,
  "spacegroup": "P3m1",
  "e_tot_ev_per_cell": -20.48,
  "magnetic_moment_mub_per_cell": 0.000,
  "lattice": [[-0.675, -2.021, 2.161], [1.041, -0.945, -2.690], [6.899, 0.401, 2.528]],
  "species": ["Ag", "Sc", "Ta"],
  "frac_coords": [[0.000, 0.000, 0.997], [0.667, 0.333, 0.339], [0.333, 0.667, 0.664]]
}

No. 17
{
  "formula": "ScTaAg",
  "functional": "PBE",
  "state": "relaxed",
  "volume_a3_per_cell": 117,
  "spacegroup": "P4/nmm",
  "e_tot_ev_per_cell": -42.63,
  "magnetic_moment_mub_per_cell": 0.000,
  "lattice": [[-1.419, -3.152, 0.690], [3.226, -1.375, 0.355], [-0.131, 2.073, 9.207]],
  "species": ["Ta", "Ta", "Sc", "Sc", "Ag", "Ag"],
  "frac_coords": [[0.000, 0.500, 0.565], [0.500, 0.000, 0.435], [0.000, 0.500, 0.243], [0.500, 0.000, 0.757], [0.500, 0.000, 0.083], [0.000, 0.500, 0.917]]
}

No. 18
{
  "formula": "ScTaAg",
  "functional": "PBE",
  "state": "relaxed",
  "volume_a3_per_cell": 58,
  "spacegroup": "I4mm",
  "e_tot_ev_per_cell": -20.84,
  "magnetic_moment_mub_per_cell": 0.000,
  "lattice": [[6.701, -0.003, 0.003], [6.021, 2.942, 0.000], [0.680, 0.160, 2.940]],
  "species": ["Ag", "Sc", "Ta"],
  "frac_coords": [[0.003, 0.003, 0.997], [0.331, 0.331, 0.669], [0.666, 0.666, 0.334]]
}

No. 19
{
  "formula": "ScTaAg2",
  "functional": "PBE",
  "state": "relaxed",
  "volume_a3_per_cell": 75,
  "spacegroup": "P2/m",
  "e_tot_ev_per_cell": -22.95,
  "magnetic_moment_mub_per_cell": 0.000,
  "lattice": [[-1.220, -0.969, -2.415], [1.752, -4.838, 1.055], [-3.095, -4.029, 3.180]],
  "species": ["Ag", "Ag", "Sc", "Ta"],
  "frac_coords": [[0.000, 0.000, 0.000], [0.500, 0.500, 0.000], [0.500, 0.500, 0.500], [0.000, 0.000, 0.500]]
}

No. 20
{
  "formula": "ScTaAg2",
  "functional": "PBE",
  "state": "relaxed",
  "volume_a3_per_cell": 74,
  "spacegroup": "P4/mmm",
  "e_tot_ev_per_cell": -23.30,
  "magnetic_moment_mub_per_cell": 0.001,
  "lattice": [[2.954, 0.015, 0.000], [-0.014, 2.954, 0.000], [0.000, 0.000, 8.522]],
  "species": ["Ag", "Ag", "Sc", "Ta"],
  "frac_coords": [[0.000, 0.000, 0.996], [0.000, 0.000, 0.504], [0.500, 0.500, 0.250], [0.500, 0.500, 0.750]]
}

No. 21
{
  "formula": "ScTaAg",
  "functional": "PBE",
  "state": "relaxed",
  "volume_a3_per_cell": 59,
  "spacegroup": "P-6m2",
  "e_tot_ev_per_cell": -19.99,
  "magnetic_moment_mub_per_cell": 0.000,
  "lattice": [[-3.676, 2.369, -2.106], [2.656, -3.141, -2.576], [-1.797, -2.129, 0.743]],
  "species": ["Ag", "Sc", "Ta"],
  "frac_coords": [[0.000, 0.000, 0.834], [0.333, 0.667, 0.333], [0.667, 0.333, 0.833]]
}

No. 22
{
  "formula": "ScTaAg",
  "functional": "PBE",
  "state": "relaxed",
  "volume_a3_per_cell": 67,
  "spacegroup": "F-43m",
  "e_tot_ev_per_cell": -18.72,
  "magnetic_moment_mub_per_cell": 0.019,
  "lattice": [[4.555, 0.000, 0.000], [2.277, 3.944, 0.000], [2.277, 1.315, 3.719]],
  "species": ["Ag", "Sc", "Ta"],
  "frac_coords": [[0.750, 0.750, 0.750], [0.000, 0.000, 0.000], [0.500, 0.500, 0.500]]
}

No. 23
{
  "formula": "Sc3TaAg",
  "functional": "PBE",
  "state": "relaxed",
  "volume_a3_per_cell": 134,
  "spacegroup": "Pm-3m",
  "e_tot_ev_per_cell": -30.07,
  "magnetic_moment_mub_per_cell": 0.000,
  "lattice": [[-4.895, -1.497, -0.052], [1.477, -4.794, -1.016], [0.248, -0.986, 5.016]],
  "species": ["Sc", "Sc", "Sc", "Ag", "Ta"],
  "frac_coords": [[0.000, 0.500, 0.000], [0.000, 0.000, 0.500], [0.500, 0.000, 0.000], [0.500, 0.500, 0.500], [0.000, 0.000, 0.000]]
}

No. 24
{
  "formula": "ScTa3Ag",
  "functional": "PBE",
  "state": "relaxed",
  "volume_a3_per_cell": 107,
  "spacegroup": "Pm-3m",
  "e_tot_ev_per_cell": -35.02,
  "magnetic_moment_mub_per_cell": 0.000,
  "lattice": [[-3.857, 2.772, 0.151], [-2.119, -3.106, 2.907], [1.795, 2.292, 3.757]],
  "species": ["Sc", "Ag", "Ta", "Ta", "Ta"],
  "frac_coords": [[0.000, 0.000, 0.000], [0.500, 0.500, 0.500], [0.000, 0.500, 0.000], [0.000, 0.000, 0.500], [0.500, 0.000, 0.000]]
}

No. 25
{
  "formula": "ScTaAg2",
  "functional": "PBE",
  "state": "relaxed",
  "volume_a3_per_cell": 76,
  "spacegroup": "Fm-3m",
  "e_tot_ev_per_cell": -22.83,
  "magnetic_moment_mub_per_cell": 1.093,
  "lattice": [[0.000, 3.363, 3.363], [3.363, 0.000, 3.363], [3.363, 3.363, 0.000]],
  "species": ["Sc", "Ag", "Ag", "Ta"],
  "frac_coords": [[0.000, 0.000, 0.000], [0.250, 0.250, 0.250], [0.750, 0.750, 0.750], [0.500, 0.500, 0.500]]
}

No. 26
{
  "formula": "ScTaAg2",
  "functional": "PBE",
  "state": "relaxed",
  "volume_a3_per_cell": 77,
  "spacegroup": "R3m",
  "e_tot_ev_per_cell": -23.32,
  "magnetic_moment_mub_per_cell": 0.000,
  "lattice": [[-8.861, -0.938, 3.829], [-8.653, -3.645, 2.430], [-7.483, -3.278, 5.227]],
  "species": ["Ag", "Ag", "Sc", "Ta"],
  "frac_coords": [[0.000, 0.000, 0.000], [0.251, 0.251, 0.251], [0.499, 0.499, 0.499], [0.750, 0.750, 0.750]]
}

No. 27
{
  "formula": "ScTa2AgTe",
  "functional": "PBE",
  "state": "relaxed",
  "e_form_raw_ev_per_atom": 1.54,
  "volume_a3_per_cell": 132,
  "spacegroup": "P4/mmm",
  "magnetic_moment_mub_per_cell": 1.740,
  "lattice": [[4.964, 0.000, 0.000], [0.000, 5.364, 0.000], [0.000, 0.000, 4.964]],
  "species": ["Sc", "Te", "Ag", "Ta", "Ta"],
  "frac_coords": [[0.500, 0.500, 0.500], [0.000, 0.500, 0.000], [0.000, 0.000, 0.000], [0.000, 0.000, 0.500], [0.500, 0.000, 0.000]]
}

No. 28
{
  "formula": "Tb2ScAg4",
  "functional": "PBE",
  "state": "relaxed",
  "volume_a3_per_cell": 169,
  "spacegroup": "I4/mmm",
  "e_tot_ev_per_cell": -27.77,
  "magnetic_moment_mub_per_cell": 0.000,
  "lattice": [[-2.642, 0.473, 4.416], [-4.209, -1.906, -2.314], [5.164, -5.147, 0.616]],
  "species": ["Tb", "Tb", "Sc", "Ag", "Ag", "Ag", "Ag"],
  "frac_coords": [[0.727, 0.727, 0.454], [0.273, 0.273, 0.546], [0.000, 0.000, 0.000], [0.386, 0.886, 0.773], [0.886, 0.386, 0.773], [0.614, 0.114, 0.227], [0.114, 0.614, 0.227]]
}

No. 29
{
  "formula": "Tb2Sc3Ag2",
  "functional": "PBE",
  "state": "relaxed",
  "volume_a3_per_cell": 175,
  "spacegroup": "C2/m",
  "e_tot_ev_per_cell": -34.66,
  "magnetic_moment_mub_per_cell": 0.000,
  "lattice": [[4.824, 0.000, 0.000], [-2.412, 5.188, -0.280], [0.000, -2.725, 7.152]],
  "species": ["Tb", "Tb", "Sc", "Sc", "Sc", "Ag", "Ag"],
  "frac_coords": [[0.872, 0.744, 0.232], [0.128, 0.256, 0.768], [0.500, 0.000, 0.000], [0.635, 0.270, 0.452], [0.365, 0.730, 0.548], [0.849, 0.698, 0.814], [0.151, 0.302, 0.186]]
}